# Dy3Y3Cu4 (PBE, optimized geometry)
# * symmetry: No. 38
# * E_form: -159 meV/atom
# * final energy: -5.117 eV per atom
# * total magnetic moment: 0.00 μB/f.u.
data_Dy3Y3Cu4
_cell_length_a 3.767
_cell_length_b 7.893
_cell_length_c 7.893
_cell_angle_alpha 89.84
_cell_angle_beta 90.00
_cell_angle_gamma 90.00
_symmetry_space_group_name_H-M 'P 1'
_symmetry_Int_Tables_number 1
loop_
_symmetry_equiv_pos_as_xyz
'x,y,z'
loop_
_atom_site_label
_atom_site_type_symbol
_atom_site_fract_x
_atom_site_fract_y
_atom_site_fract_z
Dy1 Dy 0.000 0.000 0.000
Dy2 Dy 0.500 0.336 0.840
Dy3 Dy 0.500 0.840 0.336
Y1 Y 0.000 0.174 0.503
Y2 Y 0.000 0.503 0.174
Y3 Y 0.000 0.672 0.672
Cu1 Cu 0.500 0.214 0.214
Cu2 Cu 0.500 0.460 0.460
Cu3 Cu 0.500 0.716 0.959
Cu4 Cu 0.500 0.959 0.716